No. 1
Entry from OQMD: a relaxed Pr2ErTe3 crystal (PBE-GGA).

Values from the calculation:
Its space-group type is P-3m1, No. 164. For the total magnetic moment, the calculation gives 0.00 Bohr magnetons per cell. The theoretical density is 7.35 Mg/m³.

Cell lengths 4.4256, 4.4256, 11.0852 Å; angles 90.00, 90.00, 120.00 degrees
With the nearest neighbours (Å) after each atom.
Atoms (fractional coordinates):
Pr: 0.3333 0.6667 0.1722  6 Te 3.19-3.22
Pr: 0.6667 0.3333 0.8278  6 Te 3.19-3.22
Er: 0.0000 0.0000 0.5000  6 Te 3.06
Te: 0.0000 0.0000 0.0000  6 Pr 3.19
Te: 0.3333 0.6667 0.6512  3 Er 3.06, 3 Pr 3.22
Te: 0.6667 0.3333 0.3488  3 Er 3.06, 3 Pr 3.22

No. 2
Entry from OQMD: a relaxed PrErTe3 crystal (PBE-GGA).

Values from the calculation:
Its space-group type is Cmcm, No. 63. For the total magnetic moment, the calculation gives 0.00 Bohr magnetons per cell. The theoretical density is 6.92 Mg/m³.

Cell lengths 7.4120, 7.4120, 10.8222 Å; angles 90.00, 90.00, 146.10 degrees
With the nearest neighbours (Å) after each atom.
Atoms (fractional coordinates):
Pr: 0.2494 0.7506 0.7500  6 Te 3.17-3.32
Pr: 0.7506 0.2494 0.2500  6 Te 3.17-3.32
Er: 0.5000 0.5000 0.0000  6 Te 2.97-3.07
Er: 0.5000 0.5000 0.5000  6 Te 2.97-3.07
Te: 0.1458 0.8542 0.0622  2 Er 3.07, 2 Pr 3.32
Te: 0.1458 0.8542 0.4378  2 Er 3.07, 2 Pr 3.32
Te: 0.4138 0.5862 0.2500  2 Er 2.97, 2 Pr 3.17
Te: 0.5862 0.4138 0.7500  2 Er 2.97, 2 Pr 3.17
Te: 0.8542 0.1458 0.5622  2 Er 3.07, 2 Pr 3.32
Te: 0.8542 0.1458 0.9378  2 Er 3.07, 2 Pr 3.32

No. 3
Entry from OQMD: a relaxed PrErTm crystal (PBE-GGA).

Values from the calculation:
Its space-group type is F-43m, No. 216. For the total magnetic moment, the calculation gives 0.08 Bohr magnetons per cell. The theoretical density is 6.98 Mg/m³.

Cell lengths 7.6872, 7.6872, 7.6872 Å; angles 90.00, 90.00, 90.00 degrees
With the nearest neighbours (Å) after each atom.
Atoms (fractional coordinates):
Pr: 0.0000 0.0000 0.0000  4 Tm 3.33
Pr: 0.0000 0.5000 0.5000  4 Tm 3.33
Pr: 0.5000 0.0000 0.5000  4 Tm 3.33
Pr: 0.5000 0.5000 0.0000  4 Tm 3.33
Er: 0.0000 0.0000 0.5000  4 Tm 3.33
Er: 0.0000 0.5000 0.0000  4 Tm 3.33
Er: 0.5000 0.0000 0.0000  4 Tm 3.33
Er: 0.5000 0.5000 0.5000  4 Tm 3.33
Tm: 0.2500 0.2500 0.7500  4 Pr 3.33, 4 Er 3.33
Tm: 0.2500 0.7500 0.2500  4 Pr 3.33, 4 Er 3.33
Tm: 0.7500 0.2500 0.2500  4 Pr 3.33, 4 Er 3.33
Tm: 0.7500 0.7500 0.7500  4 Pr 3.33, 4 Er 3.33

No. 4
Entry from OQMD: a relaxed Pr2ErW6 crystal (PBE-GGA).

Values from the calculation:
Its space-group type is P4/mmm, No. 123. For the total magnetic moment, the calculation gives 3.59 Bohr magnetons per cell. The theoretical density is 9.52 Mg/m³.

Cell lengths 4.4631, 4.4631, 13.5869 Å; angles 90.00, 90.00, 90.00 degrees
With the nearest neighbours (Å) after each atom.
Atoms (fractional coordinates):
Pr: 0.0000 0.0000 0.2234  5 W 3.04-3.12
Pr: 0.0000 0.0000 0.7766  5 W 3.04-3.12
Er: 0.5000 0.5000 0.5000  8 W 2.74
W: 0.0000 0.0000 0.0000  2 Pr 3.04
W: 0.0000 0.0000 0.5000  8 W 2.74
W: 0.0000 0.5000 0.3835  2 W 2.74, 2 Er 2.74
W: 0.0000 0.5000 0.6165  2 W 2.74, 2 Er 2.74
W: 0.5000 0.0000 0.3835  2 W 2.74, 2 Er 2.74
W: 0.5000 0.0000 0.6165  2 W 2.74, 2 Er 2.74

No. 5
Entry from OQMD: a relaxed PrYEr crystal (PBE-GGA).

Values from the calculation:
Its space-group type is F-43m, No. 216. For the total magnetic moment, the calculation gives 0.03 Bohr magnetons per cell. The theoretical density is 5.69 Mg/m³.

Cell lengths 7.7409, 7.7409, 7.7409 Å; angles 90.00, 90.00, 90.00 degrees
With the nearest neighbours (Å) after each atom.
Atoms (fractional coordinates):
Pr: 0.0000 0.0000 0.0000  4 Er 3.35
Pr: 0.0000 0.5000 0.5000  4 Er 3.35
Pr: 0.5000 0.0000 0.5000  4 Er 3.35
Pr: 0.5000 0.5000 0.0000  4 Er 3.35
Y: 0.0000 0.0000 0.5000  4 Er 3.35
Y: 0.0000 0.5000 0.0000  4 Er 3.35
Y: 0.5000 0.0000 0.0000  4 Er 3.35
Y: 0.5000 0.5000 0.5000  4 Er 3.35
Er: 0.2500 0.2500 0.2500  4 Pr 3.35, 4 Y 3.35
Er: 0.2500 0.7500 0.7500  4 Pr 3.35, 4 Y 3.35
Er: 0.7500 0.2500 0.7500  4 Pr 3.35, 4 Y 3.35
Er: 0.7500 0.7500 0.2500  4 Pr 3.35, 4 Y 3.35

No. 6
Entry from OQMD: a relaxed PrErZn crystal (PBE-GGA).

Values from the calculation:
Its space-group type is F-43m, No. 216. For the total magnetic moment, the calculation gives 0.16 Bohr magnetons per cell. The theoretical density is 6.95 Mg/m³.

Cell lengths 7.0931, 7.0931, 7.0931 Å; angles 90.00, 90.00, 90.00 degrees
With the nearest neighbours (Å) after each atom.
Atoms (fractional coordinates):
Pr: 0.0000 0.0000 0.0000  4 Zn 3.07
Pr: 0.0000 0.5000 0.5000  4 Zn 3.07
Pr: 0.5000 0.0000 0.5000  4 Zn 3.07
Pr: 0.5000 0.5000 0.0000  4 Zn 3.07
Er: 0.0000 0.0000 0.5000  4 Zn 3.07
Er: 0.0000 0.5000 0.0000  4 Zn 3.07
Er: 0.5000 0.0000 0.0000  4 Zn 3.07
Er: 0.5000 0.5000 0.5000  4 Zn 3.07
Zn: 0.2500 0.2500 0.7500  4 Pr 3.07, 4 Er 3.07
Zn: 0.2500 0.7500 0.2500  4 Pr 3.07, 4 Er 3.07
Zn: 0.7500 0.2500 0.2500  4 Pr 3.07, 4 Er 3.07
Zn: 0.7500 0.7500 0.7500  4 Pr 3.07, 4 Er 3.07

No. 7
Entry from OQMD: a relaxed Er5Pt4 crystal (PBE-GGA).

Values from the calculation:
Its space-group type is Pnma, No. 62. For the total magnetic moment, the calculation gives 0.02 Bohr magnetons per cell. The theoretical density is 13.31 Mg/m³.

Cell lengths 7.4150, 14.5377, 7.4844 Å; angles 90.00, 90.00, 90.00 degrees
With the nearest neighbours (Å) after each atom.
Atoms (fractional coordinates):
Er: 0.0137 0.0934 0.1775  5 Pt 2.94-3.16
Er: 0.0137 0.4066 0.1775  5 Pt 2.94-3.16
Er: 0.1411 0.6227 0.3326  6 Pt 2.83-2.98
Er: 0.1411 0.8773 0.3326  6 Pt 2.83-2.98
Er: 0.1978 0.2500 0.4893  5 Pt 2.79-3.05
Er: 0.3022 0.7500 0.9893  5 Pt 2.79-3.05
Er: 0.3589 0.1227 0.8326  6 Pt 2.83-2.98
Er: 0.3589 0.3773 0.8326  6 Pt 2.83-2.98
Er: 0.4863 0.5934 0.6775  5 Pt 2.94-3.16
Er: 0.4863 0.9066 0.6775  5 Pt 2.94-3.16
Er: 0.5137 0.0934 0.3225  5 Pt 2.94-3.16
Er: 0.5137 0.4066 0.3225  5 Pt 2.94-3.16
Er: 0.6411 0.6227 0.1674  6 Pt 2.83-2.98
Er: 0.6411 0.8773 0.1674  6 Pt 2.83-2.98
Er: 0.6978 0.2500 0.0107  5 Pt 2.79-3.05
Er: 0.8022 0.7500 0.5107  5 Pt 2.79-3.05
Er: 0.8589 0.1227 0.6674  6 Pt 2.83-2.98
Er: 0.8589 0.3773 0.6674  6 Pt 2.83-2.98
Er: 0.9863 0.5934 0.8225  5 Pt 2.94-3.16
Er: 0.9863 0.9066 0.8225  5 Pt 2.94-3.16
Pt: 0.0636 0.2500 0.8882  1 Pt 2.79, 5 Er 2.86-2.91
Pt: 0.1621 0.7500 0.6438  6 Er 2.79-2.98, 1 Pt 2.79
Pt: 0.1934 0.0411 0.5311  7 Er 2.83-3.12, 1 Pt 3.14
Pt: 0.1934 0.4589 0.5311  7 Er 2.83-3.12, 1 Pt 3.14
Pt: 0.3066 0.5411 0.0311  7 Er 2.83-3.12, 1 Pt 3.14
Pt: 0.3066 0.9589 0.0311  7 Er 2.83-3.12, 1 Pt 3.14
Pt: 0.3379 0.2500 0.1438  6 Er 2.79-2.98, 1 Pt 2.79
Pt: 0.4364 0.7500 0.3882  1 Pt 2.79, 5 Er 2.86-2.91
Pt: 0.5636 0.2500 0.6118  1 Pt 2.79, 5 Er 2.86-2.91
Pt: 0.6621 0.7500 0.8562  6 Er 2.79-2.98, 1 Pt 2.79
Pt: 0.6934 0.0411 0.9689  7 Er 2.83-3.12, 1 Pt 3.14
Pt: 0.6934 0.4589 0.9689  7 Er 2.83-3.12, 1 Pt 3.14
Pt: 0.8066 0.5411 0.4689  7 Er 2.83-3.12, 1 Pt 3.14
Pt: 0.8066 0.9589 0.4689  7 Er 2.83-3.12, 1 Pt 3.14
Pt: 0.8379 0.2500 0.3562  6 Er 2.79-2.98, 1 Pt 2.79
Pt: 0.9364 0.7500 0.1118  1 Pt 2.79, 5 Er 2.86-2.91

No. 8
Entry from OQMD: a relaxed Er8Pt crystal (PBE-GGA).

Values from the calculation:
Its space-group type is P-62m, No. 189. For the total magnetic moment, the calculation gives 0.30 Bohr magnetons per cell. The theoretical density is 9.93 Mg/m³.

Cell lengths 9.0204, 9.0204, 3.6401 Å; angles 90.00, 90.00, 120.00 degrees
With the nearest neighbours (Å) after each atom.
Atoms (fractional coordinates):
Er: 0.0000 0.2455 0.0000  2 Pt 2.87
Er: 0.0000 0.6121 0.5000  10 Er 3.33-3.64, 1 Pt 3.50
Er: 0.2455 0.0000 0.0000  2 Pt 2.87
Er: 0.3333 0.6667 0.0000  11 Er 3.33-3.64
Er: 0.3879 0.3879 0.5000  10 Er 3.33-3.64, 1 Pt 3.50
Er: 0.6121 0.0000 0.5000  10 Er 3.33-3.64, 1 Pt 3.50
Er: 0.6667 0.3333 0.0000  11 Er 3.33-3.64
Er: 0.7545 0.7545 0.0000  2 Pt 2.87
Pt: 0.0000 0.0000 0.5000  6 Er 2.87

Calculated uncorrected energy, -5.292, -5.171, -3.896, -8.430, -4.563, -3.510, -6.429, -5.043 eV/atom (same order as the records).